(1)
Compound: Zr2CrRu
Source: the Alexandria database
Functional: PBE-GGA
Structure: optimized geometry

Properties
Total energy (Ha/atom): -0.3281
Energy relative to the elements (eV per formula unit): 0.3

```
Zr2CrRu
1.0
4.5690 0.0000 0.0000
2.2845 3.9568 0.0000
2.2845 1.3189 3.7305
Cr Zr Ru
1 2 1
direct
0.5000 0.5000 0.5000
0.0000 0.0000 0.0000
0.2500 0.2500 0.2500
0.7500 0.7500 0.7500
```

***

(2)
Compound: TiNb2Pd2
Source: the Alexandria database
Functional: PBE-GGA
Structure: optimized geometry

Properties
Total energy (Ha/atom): -0.2892
Polymorph energy (0 for the lowest one) (eV/f.u.): 0.00
Energy relative to the elements (eV per formula unit): -0.9

```
TiNb2Pd2
1.0
3.3217 0.0000 -0.5330
-0.0855 3.3206 -0.5330
-0.4437 -0.4553 7.8523
Pd Nb Ti
2 2 1
direct
0.5935 0.5935 0.1870
0.4065 0.4065 0.8130
0.2024 0.2024 0.4048
0.7976 0.7976 0.5952
0.0000 0.0000 0.0000
```

***

(3)
Compound: Tb6Nd2Er3Sc
Source: the Alexandria database
Functional: PBE-GGA
Structure: optimized geometry

Properties
Total energy (Ha/atom): -0.1747
Energy relative to the elements (eV per formula unit): 0.3

```
Tb6Nd2Er3Sc
1.0
6.1299 -0.0002 0.0047
-3.0636 5.3095 0.0047
-1.0284 -1.7807 11.5752
Er Sc Nd Tb
3 1 2 6
direct
0.8338 0.1662 0.5000
0.5000 0.5000 0.5000
0.1662 0.8338 0.5000
0.0000 0.0000 0.0000
0.3336 0.6664 0.0000
0.6664 0.3336 0.0000
0.7534 0.7534 0.2520
0.4137 0.0836 0.2515
0.5863 0.9164 0.7485
0.2466 0.2466 0.7480
0.9164 0.5863 0.7485
0.0836 0.4137 0.2515
```

***

(4)
Compound: Tl3Cl
Source: the Alexandria database
Functional: PBE-GGA
Structure: optimized geometry

Properties
Total energy (Ha/atom): -0.0939
Raw formation energy (eV per formula unit): -1.28
Polymorph energy (0 for the lowest one) (eV/f.u.): 0.23

```
Tl3Cl
1.0
-1.3254 1.9373 2.7289
-2.3814 -2.6620 -0.4461
4.9259 -5.4569 6.2665
Tl Cl
3 1
direct
0.5000 0.5000 0.2264
0.0000 0.0000 0.5000
0.5000 0.5000 0.7736
0.0000 0.0000 0.0000
```

***

(5)
Compound: AsAuSe2
Source: the Alexandria database
Functional: PBE-GGA
Structure: optimized geometry

Properties
Total energy (Ha/atom): -0.1212
Raw formation energy (eV per formula unit): 1.70

```
AsAuSe2
1.0
2.7274 0.1726 0.0000
-0.7137 2.6380 0.0000
0.0000 0.0000 11.5290
As Se Au
1 2 1
direct
0.5000 0.5000 0.2500
0.0000 0.0000 0.4845
0.0000 0.0000 0.0155
0.5000 0.5000 0.7500
```

***

(6)
Compound: ThFeRe
Source: the Alexandria database
Functional: PBE-GGA
Structure: optimized geometry

Properties
Total energy (Ha/atom): -0.3278
Polymorph energy (0 for the lowest one) (eV/f.u.): 1.68
Energy relative to the elements (eV per formula unit): 1.6

```
ThFeRe
1.0
5.0363 0.0000 0.0000
2.5182 5.1349 0.0000
2.5182 0.0000 9.6361
Th Fe Re
4 4 4
direct
0.1514 0.6972 0.0000
0.8486 0.3028 0.0000
0.5986 0.8028 0.5000
0.9014 0.1972 0.5000
0.4009 0.0000 0.1982
0.1509 0.5000 0.6982
0.3491 0.5000 0.3018
0.5991 0.0000 0.8018
0.1277 0.0000 0.7446
0.8723 0.0000 0.2554
0.8777 0.5000 0.2446
0.6223 0.5000 0.7554
```